No. 1
# RbCdP2Se (PBE, relaxed)
# Space group ... P4/mmm (123)
# E_form (uncorrected) ... 2.7 eV/f.u.
# Density ... 3.64 g/cm3
# Total magnetization ... 0.000 μB per atom
# DOS at the Fermi energy ... 4.35 states/eV per cell
data_RbCdP2Se
_chemical_formula_sum 'Rb1 Cd1 P2 Se1'
_cell_length_a 4.976
_cell_length_b 4.976
_cell_length_c 6.242
_cell_angle_alpha 90.00
_cell_angle_beta 90.00
_cell_angle_gamma 90.00
_space_group_name_H-M_alt 'P 1'
_space_group_IT_number 1
loop_
_space_group_symop_operation_xyz
'x,y,z'
loop_
_atom_site_label
_atom_site_type_symbol
_atom_site_fract_x
_atom_site_fract_y
_atom_site_fract_z
Rb1 Rb 0.000 0.000 0.000
Cd1 Cd 0.500 0.500 0.000
P1 P 0.000 0.500 0.500
P2 P 0.500 0.000 0.500
Se1 Se 0.000 0.000 0.500

---

No. 2
# Rb2CdP2Se6 (PBE, relaxed)
# Space group ... P2_1/c (14)
# E_form (uncorrected) ... -6.7 eV/f.u.
# Density ... 3.92 g/cm3
# Total magnetization ... 0.000 μB per atom
# DOS at the Fermi energy ... 0.00 states/eV per cell
# Distance to the lowest polymorph of the same formula ... 0.000 eV per atom
data_Rb2CdP2Se6
_chemical_formula_sum 'Rb4 Cd2 P4 Se12'
_cell_length_a 6.746
_cell_length_b 12.798
_cell_length_c 9.852
_cell_angle_alpha 90.00
_cell_angle_beta 125.25
_cell_angle_gamma 90.00
_space_group_name_H-M_alt 'P 1'
_space_group_IT_number 1
loop_
_space_group_symop_operation_xyz
'x,y,z'
loop_
_atom_site_label
_atom_site_type_symbol
_atom_site_fract_x
_atom_site_fract_y
_atom_site_fract_z
Rb1 Rb 0.228 0.179 0.481
Rb2 Rb 0.228 0.321 0.981
Rb3 Rb 0.772 0.679 0.019
Rb4 Rb 0.772 0.821 0.519
Cd1 Cd 0.500 0.000 0.000
Cd2 Cd 0.500 0.500 0.500
P1 P 0.149 0.539 0.623
P2 P 0.149 0.961 0.123
P3 P 0.851 0.039 0.877
P4 P 0.851 0.461 0.377
Se1 Se 0.031 0.070 0.752
Se2 Se 0.031 0.430 0.252
Se3 Se 0.265 0.679 0.557
Se4 Se 0.265 0.821 0.057
Se5 Se 0.449 0.075 0.255
Se6 Se 0.449 0.425 0.755
Se7 Se 0.551 0.575 0.245
Se8 Se 0.551 0.925 0.745
Se9 Se 0.735 0.179 0.943
Se10 Se 0.735 0.321 0.443
Se11 Se 0.969 0.570 0.748
Se12 Se 0.969 0.930 0.248

---

No. 3
# Rb2CdPSe4 (PBE, relaxed)
# Space group ... Fddd (70)
# E_form (uncorrected) ... -4.7 eV/f.u.
# Density ... 3.72 g/cm3
# Total magnetization ... 0.000 μB per atom
# DOS at the Fermi energy ... 9.32 states/eV per cell
data_Rb2CdPSe4
_chemical_formula_sum 'Rb4 Cd2 P2 Se8'
_cell_length_a 14.208
_cell_length_b 12.723
_cell_length_c 7.791
_cell_angle_alpha 84.01
_cell_angle_beta 62.95
_cell_angle_gamma 33.05
_space_group_name_H-M_alt 'P 1'
_space_group_IT_number 1
loop_
_space_group_symop_operation_xyz
'x,y,z'
loop_
_atom_site_label
_atom_site_type_symbol
_atom_site_fract_x
_atom_site_fract_y
_atom_site_fract_z
Rb1 Rb 0.056 0.056 0.694
Rb2 Rb 0.306 0.306 0.944
Rb3 Rb 0.694 0.694 0.056
Rb4 Rb 0.944 0.944 0.306
Cd1 Cd 0.125 0.125 0.125
Cd2 Cd 0.875 0.875 0.875
P1 P 0.375 0.375 0.375
P2 P 0.625 0.625 0.625
Se1 Se 0.009 0.634 0.542
Se2 Se 0.315 0.542 0.634
Se3 Se 0.366 0.991 0.685
Se4 Se 0.458 0.685 0.991
Se5 Se 0.542 0.315 0.009
Se6 Se 0.634 0.009 0.315
Se7 Se 0.685 0.458 0.366
Se8 Se 0.991 0.366 0.458

---

No. 4
# Rb2ZnCdP (PBE, relaxed)
# Space group ... P4/mmm (123)
# Density ... 3.01 g/cm3
# E_form ... -0.05 eV per atom
# Total magnetization ... 0.000 μB per atom
# DOS at the Fermi energy ... 2.17 states/eV per cell
data_Rb2ZnCdP
_chemical_formula_sum 'Rb2 Zn1 Cd1 P1'
_cell_length_a 6.786
_cell_length_b 6.786
_cell_length_c 4.546
_cell_angle_alpha 90.00
_cell_angle_beta 90.00
_cell_angle_gamma 90.00
_space_group_name_H-M_alt 'P 1'
_space_group_IT_number 1
loop_
_space_group_symop_operation_xyz
'x,y,z'
loop_
_atom_site_label
_atom_site_type_symbol
_atom_site_fract_x
_atom_site_fract_y
_atom_site_fract_z
Rb1 Rb 0.000 0.500 0.000
Rb2 Rb 0.500 0.000 0.000
Zn1 Zn 0.000 0.000 0.500
Cd1 Cd 0.500 0.500 0.500
P1 P 0.000 0.000 0.000

---

No. 5
# Rb2ZrCdP (PBE, relaxed)
# Space group ... P4/mmm (123)
# Density ... 2.60 g/cm3
# E_form ... 0.38 eV per atom
# Total magnetization ... 0.231 μB per atom
# DOS at the Fermi energy ... 1.91 states/eV per cell
data_Rb2ZrCdP
_chemical_formula_sum 'Rb2 Zr1 Cd1 P1'
_cell_length_a 7.217
_cell_length_b 7.217
_cell_length_c 4.979
_cell_angle_alpha 90.00
_cell_angle_beta 90.00
_cell_angle_gamma 90.00
_space_group_name_H-M_alt 'P 1'
_space_group_IT_number 1
loop_
_space_group_symop_operation_xyz
'x,y,z'
loop_
_atom_site_label
_atom_site_type_symbol
_atom_site_fract_x
_atom_site_fract_y
_atom_site_fract_z
Rb1 Rb 0.000 0.500 0.000
Rb2 Rb 0.500 0.000 0.000
Zr1 Zr 0.000 0.000 0.000
Cd1 Cd 0.500 0.500 0.500
P1 P 0.000 0.000 0.500

---

No. 6
# CdRe2P (PBE, relaxed)
# Space group ... P2/m (10)
# Density ... 13.51 g/cm3
# E_form ... 0.42 eV per atom
# Total magnetization ... 0.000 μB per atom
# DOS at the Fermi energy ... 3.93 states/eV per cell
# Distance to the lowest polymorph of the same formula ... 0.253 eV per atom
data_CdRe2P
_chemical_formula_sum 'Cd1 Re2 P1'
_cell_length_a 2.974
_cell_length_b 3.711
_cell_length_c 5.869
_cell_angle_alpha 90.00
_cell_angle_beta 101.90
_cell_angle_gamma 90.00
_space_group_name_H-M_alt 'P 1'
_space_group_IT_number 1
loop_
_space_group_symop_operation_xyz
'x,y,z'
loop_
_atom_site_label
_atom_site_type_symbol
_atom_site_fract_x
_atom_site_fract_y
_atom_site_fract_z
Cd1 Cd 0.000 0.000 0.000
Re1 Re 0.352 0.500 0.703
Re2 Re 0.648 0.500 0.297
P1 P 0.000 0.000 0.500

---

No. 7
# CdRe2P (PBE, relaxed)
# Space group ... C2/m (12)
# Density ... 13.71 g/cm3
# E_form ... 0.37 eV per atom
# Total magnetization ... 0.000 μB per atom
# DOS at the Fermi energy ... 5.56 states/eV per cell
# Distance to the lowest polymorph of the same formula ... 0.204 eV per atom
data_CdRe2P
_chemical_formula_sum 'Cd2 Re4 P2'
_cell_length_a 10.250
_cell_length_b 2.940
_cell_length_c 4.645
_cell_angle_alpha 90.00
_cell_angle_beta 116.82
_cell_angle_gamma 90.00
_space_group_name_H-M_alt 'P 1'
_space_group_IT_number 1
loop_
_space_group_symop_operation_xyz
'x,y,z'
loop_
_atom_site_label
_atom_site_type_symbol
_atom_site_fract_x
_atom_site_fract_y
_atom_site_fract_z
Cd1 Cd 0.000 0.000 0.000
Cd2 Cd 0.500 0.500 0.000
Re1 Re 0.207 0.000 0.707
Re2 Re 0.293 0.500 0.293
Re3 Re 0.707 0.500 0.707
Re4 Re 0.793 0.000 0.293
P1 P 0.000 0.500 0.500
P2 P 0.500 0.000 0.500

---

No. 8
# CdRe3P (PBE, relaxed)
# Space group ... Pm-3m (221)
# Density ... 13.48 g/cm3
# E_form ... 0.88 eV per atom
# Total magnetization ... 0.000 μB per atom
# DOS at the Fermi energy ... 5.00 states/eV per cell
# Distance to the lowest polymorph of the same formula ... 0.000 eV per atom
data_CdRe3P
_chemical_formula_sum 'Cd1 Re3 P1'
_cell_length_a 4.422
_cell_length_b 4.422
_cell_length_c 4.422
_cell_angle_alpha 90.00
_cell_angle_beta 90.00
_cell_angle_gamma 90.00
_space_group_name_H-M_alt 'P 1'
_space_group_IT_number 1
loop_
_space_group_symop_operation_xyz
'x,y,z'
loop_
_atom_site_label
_atom_site_type_symbol
_atom_site_fract_x
_atom_site_fract_y
_atom_site_fract_z
Cd1 Cd 0.000 0.000 0.000
Re1 Re 0.000 0.500 0.500
Re2 Re 0.500 0.000 0.500
Re3 Re 0.500 0.500 0.000
P1 P 0.500 0.500 0.500

---

No. 9
# CdRe2P (PBE, relaxed)
# Space group ... I-42d (122)
# Density ... 11.65 g/cm3
# E_form ... 0.76 eV per atom
# Total magnetization ... 0.000 μB per atom
# DOS at the Fermi energy ... 14.93 states/eV per cell
# Distance to the lowest polymorph of the same formula ... 0.591 eV per atom
data_CdRe2P
_chemical_formula_sum 'Cd4 Re8 P4'
_cell_length_a 4.062
_cell_length_b 4.062
_cell_length_c 17.827
_cell_angle_alpha 90.00
_cell_angle_beta 90.00
_cell_angle_gamma 90.00
_space_group_name_H-M_alt 'P 1'
_space_group_IT_number 1
loop_
_space_group_symop_operation_xyz
'x,y,z'
loop_
_atom_site_label
_atom_site_type_symbol
_atom_site_fract_x
_atom_site_fract_y
_atom_site_fract_z
Cd1 Cd 0.000 0.000 0.000
Cd2 Cd 0.000 0.500 0.250
Cd3 Cd 0.500 0.000 0.750
Cd4 Cd 0.500 0.500 0.500
Re1 Re 0.160 0.250 0.625
Re2 Re 0.250 0.660 0.875
Re3 Re 0.250 0.840 0.375
Re4 Re 0.340 0.250 0.125
Re5 Re 0.660 0.750 0.125
Re6 Re 0.750 0.160 0.375
Re7 Re 0.750 0.340 0.875
Re8 Re 0.840 0.750 0.625
P1 P 0.000 0.000 0.500
P2 P 0.000 0.500 0.750
P3 P 0.500 0.000 0.250
P4 P 0.500 0.500 0.000

---

No. 10
# CdRe2P (PBE, relaxed)
# Space group ... F-43m (216)
# Density ... 13.41 g/cm3
# E_form ... 0.76 eV per atom
# Total magnetization ... 0.000 μB per atom
# DOS at the Fermi energy ... 11.38 states/eV per cell
# Distance to the lowest polymorph of the same formula ... 0.590 eV per atom
data_CdRe2P
_chemical_formula_sum 'Cd4 Re8 P4'
_cell_length_a 6.345
_cell_length_b 6.345
_cell_length_c 6.345
_cell_angle_alpha 90.00
_cell_angle_beta 90.00
_cell_angle_gamma 90.00
_space_group_name_H-M_alt 'P 1'
_space_group_IT_number 1
loop_
_space_group_symop_operation_xyz
'x,y,z'
loop_
_atom_site_label
_atom_site_type_symbol
_atom_site_fract_x
_atom_site_fract_y
_atom_site_fract_z
Cd1 Cd 0.000 0.000 0.000
Cd2 Cd 0.000 0.500 0.500
Cd3 Cd 0.500 0.000 0.500
Cd4 Cd 0.500 0.500 0.000
Re1 Re 0.000 0.000 0.500
Re2 Re 0.000 0.500 0.000
Re3 Re 0.250 0.250 0.250
Re4 Re 0.250 0.750 0.750
Re5 Re 0.500 0.000 0.000
Re6 Re 0.500 0.500 0.500
Re7 Re 0.750 0.250 0.750
Re8 Re 0.750 0.750 0.250
P1 P 0.250 0.250 0.750
P2 P 0.250 0.750 0.250
P3 P 0.750 0.250 0.250
P4 P 0.750 0.750 0.750

---

No. 11
# CdRe2P (PBE, relaxed)
# Space group ... R3m (160)
# Density ... 13.08 g/cm3
# E_form ... 0.18 eV per atom
# Total magnetization ... 0.000 μB per atom
# DOS at the Fermi energy ... 7.21 states/eV per cell
# Distance to the lowest polymorph of the same formula ... 0.008 eV per atom
data_CdRe2P
_chemical_formula_sum 'Cd3 Re6 P3'
_cell_length_a 2.897
_cell_length_b 2.897
_cell_length_c 27.036
_cell_angle_alpha 90.00
_cell_angle_beta 90.00
_cell_angle_gamma 120.00
_space_group_name_H-M_alt 'P 1'
_space_group_IT_number 1
loop_
_space_group_symop_operation_xyz
'x,y,z'
loop_
_atom_site_label
_atom_site_type_symbol
_atom_site_fract_x
_atom_site_fract_y
_atom_site_fract_z
Cd1 Cd 0.000 0.000 0.000
Cd2 Cd 0.333 0.667 0.667
Cd3 Cd 0.667 0.333 0.333
Re1 Re 0.000 0.000 0.242
Re2 Re 0.000 0.000 0.497
Re3 Re 0.333 0.667 0.163
Re4 Re 0.333 0.667 0.909
Re5 Re 0.667 0.333 0.575
Re6 Re 0.667 0.333 0.830
P1 P 0.000 0.000 0.764
P2 P 0.333 0.667 0.431
P3 P 0.667 0.333 0.098

---

No. 12
# CdReP3 (PBE, relaxed)
# Space group ... Pm-3m (221)
# Density ... 6.13 g/cm3
# E_form ... 2.23 eV per atom
# Total magnetization ... 0.000 μB per atom
# DOS at the Fermi energy ... 7.83 states/eV per cell
# Distance to the lowest polymorph of the same formula ... 1.673 eV per atom
data_CdReP3
_chemical_formula_sum 'Cd1 Re1 P3'
_cell_length_a 4.734
_cell_length_b 4.734
_cell_length_c 4.734
_cell_angle_alpha 90.00
_cell_angle_beta 90.00
_cell_angle_gamma 90.00
_space_group_name_H-M_alt 'P 1'
_space_group_IT_number 1
loop_
_space_group_symop_operation_xyz
'x,y,z'
loop_
_atom_site_label
_atom_site_type_symbol
_atom_site_fract_x
_atom_site_fract_y
_atom_site_fract_z
Cd1 Cd 0.000 0.000 0.000
Re1 Re 0.500 0.500 0.500
P1 P 0.000 0.000 0.500
P2 P 0.000 0.500 0.000
P3 P 0.500 0.000 0.000